Density functional theory data (PBE) for a relaxed Y6PuSc2 crystal.

**Calculated total energy**: -7.137 eV per atom
**Total magnetization**: 6.0 μB per formula unit
**Energy relative to the elements**: 17 kJ/mol of atoms
**V**: 30.294 Å³ per atom

Cell: 11.820 11.820 11.820 Å, 134.86 53.92 152.07°
Positions (direct):
Y  0.053  0.371  0.424
Y  0.145  0.070  0.215
Y  0.221  0.375  0.596
Y  0.279  0.875  0.153
Y  0.355  0.570  0.925
Y  0.447  0.871  0.317
Y  0.553  0.129  0.683
Y  0.645  0.430  0.075
Y  0.721  0.125  0.847
Y  0.779  0.625  0.404
Y  0.855  0.930  0.785
Y  0.947  0.629  0.576
Pu  0.250  0.250  0.000
Pu  0.750  0.750  0.000
Sc  0.128  0.704  0.832
Sc  0.372  0.204  0.575
Sc  0.628  0.796  0.425
Sc  0.872  0.296  0.168



Density functional theory data (PBE) for a relaxed Tb6PrTm4 crystal.

**Calculated total energy**: -4.247 eV per atom
**Total magnetization**: 1.4 μB per formula unit
**Energy relative to the elements**: 33 kJ/mol of atoms
**V**: 34.016 Å³ per atom

Cell: 9.066 9.066 5.257 Å, 90.00 90.00 120.00°
Positions (direct):
Tb  0.201  0.402  0.000
Tb  0.201  0.799  0.000
Tb  0.256  0.128  0.500
Tb  0.598  0.799  0.000
Tb  0.872  0.128  0.500
Tb  0.872  0.744  0.500
Pr  0.667  0.333  0.000
Tm  0.000  0.000  0.000
Tm  0.078  0.539  0.500
Tm  0.461  0.539  0.500
Tm  0.461  0.922  0.500



Density functional theory data (PBE) for a relaxed La2TbPrBi4 crystal.

**Calculated total energy**: -5.333 eV per atom
**Total magnetization**: 0.0 μB per formula unit
**Energy relative to the elements**: -95 kJ/mol of atoms
**V**: 35.275 Å³ per atom

Cell: 8.026 4.643 8.034 Å, 90.00 109.51 90.00°
Positions (direct):
La  0.000  0.000  0.000
La  0.000  0.500  0.500
Tb  0.500  0.000  0.500
Pr  0.500  0.500  0.000
Bi  0.255  0.000  0.748
Bi  0.258  0.500  0.257
Bi  0.742  0.500  0.743
Bi  0.745  0.000  0.252



Density functional theory data (PBE) for a relaxed Dy5Y4Pu crystal.

**Calculated total energy**: -6.077 eV per atom
**Total magnetization**: 5.8 μB per formula unit
**Energy relative to the elements**: 23 kJ/mol of atoms
**V**: 32.031 Å³ per atom

Cell: 8.145 8.145 8.145 Å, 96.38 96.38 141.04°
Positions (direct):
Dy  0.000  0.000  0.000
Dy  0.315  0.315  0.632
Dy  0.315  0.683  0.000
Dy  0.683  0.315  0.000
Dy  0.683  0.683  0.368
Y  0.323  0.999  0.324
Y  0.674  0.999  0.676
Y  0.999  0.323  0.324
Y  0.999  0.674  0.676
Pu  0.500  0.500  0.000



Which of these has the lowest total magnetization?
La2TbPrBi4



Among the records above, which one has the lowest V?
Y6PuSc2



Which value of total magnetization does entry 3 give?
0.0 μB per formula unit